# LiTlRuBr6

LiTlRuBr6 after structural relaxation (PBE-GGA, Alexandria).

Results
Mass density, g/cm³: 4.56
Uncorrected formation energy, eV/atom: -0.643
D(E_F), states/eV/cell: 5.5
Total magnetization, μB per formula unit: 2.00

Lattice parameters (Å, degrees): 6.8469 6.8469 7.0944 90.00 90.00 120.00
Space group P312 (No. 149)
Asymmetric unit:
Li 0.0000 0.0000 0.0000 [1 per cell]
Tl 0.6667 0.3333 0.5000 [1 per cell]
Ru 0.3333 0.6667 0.0000 [1 per cell]
Br 0.0481 0.3559 0.2050 [6 per cell]